Entry from the Alexandria database: crystalline Sm4DyEr2Tm at its relaxed geometry (PBE). Values from VASP.

```
&SYSTEM
  ibrav = 0, nat = 8, ntyp = 4
/
ATOMIC_SPECIES
Tm 168.93 Tm.upf
Sm 150.36 Sm.upf
Dy 162.50 Dy.upf
Er 167.26 Er.upf
CELL_PARAMETERS angstrom
-4.107 -1.052 -2.777
-2.838 0.037 4.183
-4.519 9.839 2.954
ATOMIC_POSITIONS crystal
Tm 0.000 0.500 0.500
Sm 0.000 0.249 0.251
Sm 0.500 0.749 0.251
Sm 0.500 0.251 0.749
Sm 0.000 0.751 0.749
Dy 0.500 0.500 0.000
Er 0.500 0.000 0.500
Er 0.000 0.000 0.000
```

Output
For the magnetization, the calculation gives 0.000 μB/f.u. As for the calculated total energy: -0.33925 Ry/atom.